No. 1
# Tc2POs

A crystal of Tc2POs relaxed with PBEsol (SCAN, Alexandria via LeMat-Bulk). Values from VASP.

Cell and atoms, written as Quantum ESPRESSO input:
```
&SYSTEM
  ibrav = 0, nat = 4, ntyp = 3
/
ATOMIC_SPECIES
Tc 98.00 Tc.upf
P 30.97 P.upf
Os 190.23 Os.upf
CELL_PARAMETERS angstrom
1.3848 0.7995 8.0776
-1.3848 0.7995 8.0776
0.0000 -1.5990 8.0776
ATOMIC_POSITIONS crystal
Tc 0.0000 0.0000 0.0000
Tc 0.2453 0.2453 0.2453
P 0.7447 0.7447 0.7447
Os 0.4878 0.4878 0.4878
```

ΔE_f	-4	meV per atom
symmetry	R3m (160)
Fermi-level density of states	2.147	states/eV per cell

***

No. 2
# Tc2POs

A crystal of Tc2POs relaxed with PBEsol (SCAN, Alexandria via LeMat-Bulk). Values from VASP.

Cell and atoms, written as Quantum ESPRESSO input:
```
&SYSTEM
  ibrav = 0, nat = 4, ntyp = 3
/
ATOMIC_SPECIES
Tc 98.00 Tc.upf
P 30.97 P.upf
Os 190.23 Os.upf
CELL_PARAMETERS angstrom
3.5780 0.0000 0.0000
0.0000 3.5780 0.0000
0.0000 0.0000 4.2264
ATOMIC_POSITIONS crystal
Tc 0.0000 0.5000 0.0000
Tc 0.5000 0.0000 0.0000
P 0.0000 0.0000 0.5000
Os 0.5000 0.5000 0.5000
```

ΔE_f	395	meV per atom
symmetry	P4/mmm (123)
Fermi-level density of states	5.001	states/eV per cell

***

No. 3
# Tc2POs

A crystal of Tc2POs relaxed with PBEsol (SCAN, Alexandria via LeMat-Bulk). Values from VASP.

Cell and atoms, written as Quantum ESPRESSO input:
```
&SYSTEM
  ibrav = 0, nat = 4, ntyp = 3
/
ATOMIC_SPECIES
Tc 98.00 Tc.upf
P 30.97 P.upf
Os 190.23 Os.upf
CELL_PARAMETERS angstrom
4.4919 -1.4025 0.0000
4.4919 1.4025 0.0000
-0.2262 0.0000 4.3318
ATOMIC_POSITIONS crystal
Tc 0.2305 0.2305 0.2449
Tc 0.7695 0.7695 0.7551
P 0.0000 0.0000 0.5000
Os 0.5000 0.5000 0.0000
```

ΔE_f	95	meV per atom
symmetry	C2/m (12)
Fermi-level density of states	3.238	states/eV per cell

***

No. 4
# Tc2POs

A crystal of Tc2POs relaxed with PBEsol (SCAN, Alexandria via LeMat-Bulk). Values from VASP.

Cell and atoms, written as Quantum ESPRESSO input:
```
&SYSTEM
  ibrav = 0, nat = 4, ntyp = 3
/
ATOMIC_SPECIES
Tc 98.00 Tc.upf
P 30.97 P.upf
Os 190.23 Os.upf
CELL_PARAMETERS angstrom
2.8116 0.0000 0.0000
0.0000 3.8811 0.0000
0.0000 0.0000 4.9422
ATOMIC_POSITIONS crystal
Tc 0.0000 0.0000 0.2425
Tc 0.0000 0.0000 0.7575
P 0.5000 0.5000 0.0000
Os 0.5000 0.5000 0.5000
```

ΔE_f	106	meV per atom
symmetry	Pmmm (47)
Fermi-level density of states	3.327	states/eV per cell

***

No. 5
# TePOs2

A crystal of TePOs2 relaxed with PBEsol (SCAN, Alexandria via LeMat-Bulk). Values from VASP.

Cell and atoms, written as Quantum ESPRESSO input:
```
&SYSTEM
  ibrav = 0, nat = 4, ntyp = 3
/
ATOMIC_SPECIES
Te 127.60 Te.upf
P 30.97 P.upf
Os 190.23 Os.upf
CELL_PARAMETERS angstrom
1.4400 -2.5177 0.0000
1.4400 2.5177 0.0000
0.0000 0.0000 9.6085
ATOMIC_POSITIONS crystal
Te 0.0000 0.0000 0.0000
P 0.5000 0.5000 0.6668
Os 0.0000 0.0000 0.4760
Os 0.5000 0.5000 0.2414
```

formation energy (no corrections)	0.86	eV per atom
symmetry	Cmm2 (35)
Fermi-level density of states	3.249	states/eV per cell

***

No. 6
# TePOs

A crystal of TePOs relaxed with PBEsol (SCAN, Alexandria via LeMat-Bulk). Values from VASP.

Cell and atoms, written as Quantum ESPRESSO input:
```
&SYSTEM
  ibrav = 0, nat = 3, ntyp = 3
/
ATOMIC_SPECIES
Te 127.60 Te.upf
P 30.97 P.upf
Os 190.23 Os.upf
CELL_PARAMETERS angstrom
-1.4931 1.4931 5.9719
1.4931 -1.4931 5.9719
1.4931 1.4931 -5.9719
ATOMIC_POSITIONS crystal
Te 0.0000 0.0000 0.0000
P 0.7213 0.7213 0.0000
Os 0.3237 0.3237 0.0000
```

formation energy (no corrections)	0.31	eV per atom
symmetry	I4mm (107)
Fermi-level density of states	0.799	states/eV per cell

***

No. 7
# TiPOs3

A crystal of TiPOs3 relaxed with PBEsol (SCAN, Alexandria via LeMat-Bulk). Values from VASP.

Cell and atoms, written as Quantum ESPRESSO input:
```
&SYSTEM
  ibrav = 0, nat = 5, ntyp = 3
/
ATOMIC_SPECIES
Ti 47.87 Ti.upf
P 30.97 P.upf
Os 190.23 Os.upf
CELL_PARAMETERS angstrom
4.2926 0.0000 0.0000
0.0000 4.2926 0.0000
0.0000 0.0000 4.2926
ATOMIC_POSITIONS crystal
Ti 0.0000 0.0000 0.0000
P 0.5000 0.5000 0.5000
Os 0.0000 0.5000 0.5000
Os 0.5000 0.0000 0.5000
Os 0.5000 0.5000 0.0000
```

ΔE_f	518	meV per atom
symmetry	Pm-3m (221)
Fermi-level density of states	3.553	states/eV per cell

***

No. 8
# TiPOs

A crystal of TiPOs relaxed with PBEsol (SCAN, Alexandria via LeMat-Bulk). Values from VASP.

Cell and atoms, written as Quantum ESPRESSO input:
```
&SYSTEM
  ibrav = 0, nat = 9, ntyp = 3
/
ATOMIC_SPECIES
Ti 47.87 Ti.upf
P 30.97 P.upf
Os 190.23 Os.upf
CELL_PARAMETERS angstrom
6.2107 0.0000 0.0000
-3.1053 5.3786 0.0000
0.0000 0.0000 3.6745
ATOMIC_POSITIONS crystal
Ti 0.0000 0.5840 0.0000
Ti 0.4160 0.4160 0.0000
Ti 0.5840 0.0000 0.0000
P 0.0000 0.0000 0.0000
P 0.3333 0.6667 0.5000
P 0.6667 0.3333 0.5000
Os 0.0000 0.2522 0.5000
Os 0.2522 0.0000 0.5000
Os 0.7478 0.7478 0.5000
```

ΔE_f	-943	meV per atom
symmetry	P-62m (189)
Fermi-level density of states	6.962	states/eV per cell